! Li2Ac5Sn5 | Alexandria via LeMat-Bulk | PBE | optimized geometry; values from VASP
&SYSTEM
  ibrav = 0, nat = 12, ntyp = 3
/
ATOMIC_SPECIES
Ac 227.00 Ac.upf
Sn 118.71 Sn.upf
Li 6.94 Li.upf
ATOMIC_POSITIONS angstrom
Ac -7.290 1.103 3.693
Ac -11.672 0.106 5.689
Ac -7.086 4.456 6.133
Ac -7.493 -2.250 1.254
Ac -2.907 2.100 1.697
Sn -4.295 2.567 4.843
Sn -8.706 1.532 6.865
Sn 0.000 0.000 0.000
Sn -5.874 0.674 0.522
Sn -10.285 -0.360 2.544
Li -9.968 3.026 4.786
Li -4.611 -0.820 2.600
CELL_PARAMETERS angstrom
-4.104 1.755 -2.070
-6.617 -5.281 2.793
-3.859 5.732 6.663
! **Energy above the lowest structure with this stoichiometry**: 0.000 eV/atom
! **DOS(E_F)**: 6.08 states/eV/f.u.
! **Magnetization**: 0.00 μB/cell
! **Formation enthalpy at 0 K**: -626.2 meV/atom

=====

! Al2CdPt2 | Alexandria via LeMat-Bulk | PBE | optimized geometry; values from VASP
&SYSTEM
  ibrav = 0, nat = 5, ntyp = 3
/
ATOMIC_SPECIES
Pt 195.08 Pt.upf
Al 26.98 Al.upf
Cd 112.41 Cd.upf
ATOMIC_POSITIONS angstrom
Pt 4.059 2.030 2.764
Pt 2.030 4.059 2.764
Al 2.030 2.030 1.289
Al 4.059 4.059 4.238
Cd 0.000 0.000 0.000
CELL_PARAMETERS angstrom
4.059 0.000 0.000
0.000 4.059 0.000
2.030 2.030 5.527
! **DOS(E_F)**: 1.99 states/eV/f.u.
! **Magnetization**: 0.00 μB/cell
! **Formation enthalpy at 0 K**: -481.7 meV/atom

=====

! PrY2NpN4 | Alexandria via LeMat-Bulk | PBE | optimized geometry; values from VASP
&SYSTEM
  ibrav = 0, nat = 16, ntyp = 4
/
ATOMIC_SPECIES
Y 88.91 Y.upf
N 14.01 N.upf
Np 237.00 Np.upf
Pr 140.91 Pr.upf
ATOMIC_POSITIONS angstrom
Y 1.723 1.675 10.918
Y 0.000 4.896 0.136
Y 1.723 1.675 5.664
Y 0.000 4.896 5.391
N 0.000 2.648 4.292
N 1.723 3.923 9.819
N 1.723 0.968 8.291
N 0.000 0.000 0.000
N 0.000 2.648 1.236
N 0.000 5.603 2.764
N 0.000 0.000 5.527
N 1.723 3.923 6.763
Np 0.000 0.479 2.764
Np 1.723 6.092 8.291
Pr 1.723 3.541 2.764
Pr 0.000 3.030 8.291
CELL_PARAMETERS angstrom
3.446 0.000 0.000
-1.723 6.571 0.000
0.000 0.000 11.055
! **DOS(E_F)**: 8.48 states/eV/f.u.
! **E_form (uncorrected)**: -1173 meV/atom
! **Magnetization**: 7.89 μB/cell

=====

! Tb5Y6Mg | Alexandria via LeMat-Bulk | PBE | optimized geometry; values from VASP
&SYSTEM
  ibrav = 0, nat = 12, ntyp = 3
/
ATOMIC_SPECIES
Tb 158.93 Tb.upf
Y 88.91 Y.upf
Mg 24.30 Mg.upf
ATOMIC_POSITIONS angstrom
Tb -1.560 -1.199 11.524
Tb -0.387 -3.448 9.172
Tb 0.595 0.085 9.075
Tb -2.112 -1.130 2.445
Tb -4.329 -2.637 4.900
Y 1.956 -2.098 11.591
Y -0.214 -3.437 14.042
Y -1.733 -1.210 6.655
Y -3.902 -2.548 9.105
Y 0.579 -0.042 4.316
Y 0.611 0.213 13.833
Mg 0.000 0.000 0.000
CELL_PARAMETERS angstrom
-3.304 1.051 4.798
-3.136 -4.818 2.547
4.495 -0.880 13.352
! **DOS(E_F)**: 17.68 states/eV/f.u.
! **Magnetization**: 0.00 μB/cell
! **Formation enthalpy at 0 K**: 43.7 meV/atom

=====

! Ac2TePb | Alexandria via LeMat-Bulk | PBE | optimized geometry; values from VASP
&SYSTEM
  ibrav = 0, nat = 8, ntyp = 3
/
ATOMIC_SPECIES
Te 127.60 Te.upf
Ac 227.00 Ac.upf
Pb 207.20 Pb.upf
ATOMIC_POSITIONS angstrom
Te 0.000 2.778 12.149
Te 2.406 1.389 4.050
Ac 2.406 1.389 14.317
Ac 0.000 2.778 1.882
Ac 0.000 2.778 6.217
Ac 2.406 1.389 9.981
Pb 0.000 0.000 8.099
Pb 0.000 0.000 0.000
CELL_PARAMETERS angstrom
4.812 0.000 0.000
-2.406 4.167 0.000
0.000 0.000 16.198
! **Energy above the lowest structure with this stoichiometry**: 0.050 eV/atom
! **DOS(E_F)**: 1.70 states/eV/f.u.
! **E_form (uncorrected)**: -1008 meV/atom
! **Magnetization**: 0.00 μB/cell

=====

! Ba3ZrH | Alexandria via LeMat-Bulk | PBE | optimized geometry; values from VASP
&SYSTEM
  ibrav = 0, nat = 5, ntyp = 3
/
ATOMIC_SPECIES
Ba 137.33 Ba.upf
Zr 91.22 Zr.upf
H 1.01 H.upf
ATOMIC_POSITIONS angstrom
Ba -0.090 -2.359 1.538
Ba -1.927 -1.071 -1.755
Ba -2.053 1.108 1.579
Zr -4.071 -2.321 1.363
H 0.000 0.000 0.000
CELL_PARAMETERS angstrom
-4.107 2.217 3.158
-3.854 -2.141 -3.509
-0.181 -4.717 3.077
! **Energy above the lowest structure with this stoichiometry**: 0.000 eV/atom
! **DOS(E_F)**: 6.77 states/eV/f.u.
! **Magnetization**: 1.70 μB/cell

=====

! La2PmNd2Y6 | Alexandria via LeMat-Bulk | PBE | optimized geometry; values from VASP
&SYSTEM
  ibrav = 0, nat = 11, ntyp = 4
/
ATOMIC_SPECIES
Y 88.91 Y.upf
Nd 144.24 Nd.upf
La 138.91 La.upf
Pm 145.00 Pm.upf
ATOMIC_POSITIONS angstrom
Y -1.851 6.931 5.757
Y -0.399 -2.034 3.448
Y -1.587 3.450 6.489
Y -3.450 -0.649 1.966
Y -0.663 1.447 2.716
Y 1.200 5.546 7.239
Nd -5.237 -0.612 -0.953
Nd 2.283 -4.025 2.701
La -3.276 3.425 3.557
La 1.026 1.472 5.648
Pm 0.352 4.767 3.729
CELL_PARAMETERS angstrom
-6.554 -0.014 -1.593
3.600 -4.623 3.341
0.704 9.534 7.458
! **DOS(E_F)**: 17.72 states/eV/f.u.
! **Magnetization**: 0.00 μB/cell
! **Formation enthalpy at 0 K**: 132.2 meV/atom

=====

! CsPtF | Alexandria via LeMat-Bulk | PBE | optimized geometry; values from VASP
&SYSTEM
  ibrav = 0, nat = 6, ntyp = 3
/
ATOMIC_SPECIES
Pt 195.08 Pt.upf
Cs 132.91 Cs.upf
F 19.00 F.upf
ATOMIC_POSITIONS angstrom
Pt 5.825 -0.019 0.186
Pt 1.204 1.047 4.975
Cs 1.881 2.769 1.919
Cs 5.973 1.831 3.241
F 7.696 1.430 0.505
F -0.667 -0.404 4.656
CELL_PARAMETERS angstrom
8.181 0.001 -0.005
0.824 3.574 -0.001
-3.431 -1.090 5.125
! **Energy above the lowest structure with this stoichiometry**: 0.120 eV/atom
! **DOS(E_F)**: 0.00 states/eV/f.u.
! **E_form (uncorrected)**: -1164 meV/atom
! **Magnetization**: 0.00 μB/cell

=====

! H3IrN | Alexandria via LeMat-Bulk | PBE | optimized geometry; values from VASP
&SYSTEM
  ibrav = 0, nat = 5, ntyp = 3
/
ATOMIC_SPECIES
H 1.01 H.upf
Ir 192.22 Ir.upf
N 14.01 N.upf
ATOMIC_POSITIONS angstrom
H 0.563 -0.358 1.435
H -1.377 0.434 0.648
H -0.540 -1.479 -0.157
Ir -1.354 -1.403 1.926
N 0.000 0.000 0.000
CELL_PARAMETERS angstrom
-2.754 0.867 1.296
-1.080 -2.959 -0.314
1.125 -0.715 2.871
! **Energy above the lowest structure with this stoichiometry**: 0.154 eV/atom
! **DOS(E_F)**: 2.69 states/eV/f.u.
! **Magnetization**: 0.94 μB/cell

=====

! TiV4Ge2 | Alexandria via LeMat-Bulk | PBE | optimized geometry; values from VASP
&SYSTEM
  ibrav = 0, nat = 7, ntyp = 3
/
ATOMIC_SPECIES
Ge 72.64 Ge.upf
V 50.94 V.upf
Ti 47.87 Ti.upf
ATOMIC_POSITIONS angstrom
Ge -7.600 -0.240 1.644
Ge -3.469 0.172 0.279
V -4.653 -0.871 2.221
V -1.187 1.738 0.210
V -6.416 0.803 -0.297
V -1.437 -0.822 -1.317
Ti 0.000 0.000 0.000
CELL_PARAMETERS angstrom
-2.374 3.477 0.420
-2.873 -1.643 -2.635
-5.822 -1.902 4.138
! **Energy above the lowest structure with this stoichiometry**: 0.946 eV/atom
! **DOS(E_F)**: 8.02 states/eV/f.u.
! **Magnetization**: 3.26 μB/cell
! **Formation enthalpy at 0 K**: 773.1 meV/atom

=====

! ZrFe2 | Alexandria via LeMat-Bulk | PBE | optimized geometry; values from VASP
&SYSTEM
  ibrav = 0, nat = 12, ntyp = 2
/
ATOMIC_SPECIES
Zr 91.22 Zr.upf
Fe 55.84 Fe.upf
ATOMIC_POSITIONS angstrom
Zr 4.128 2.157 1.306
Zr 8.132 2.957 1.306
Zr 23.542 4.705 0.000
Zr 2.002 0.400 0.000
Fe 6.376 1.274 0.000
Fe 4.624 -0.408 1.306
Fe 19.168 3.831 0.000
Fe 10.754 2.149 0.000
Fe 12.506 3.832 1.306
Fe 8.660 0.399 1.306
Fe -0.246 1.283 1.306
Fe 14.790 2.956 0.000
CELL_PARAMETERS angstrom
13.284 -0.009 0.000
12.260 5.114 0.000
-12.772 -2.553 2.612
! **DOS(E_F)**: 2.44 states/eV/f.u.
! **Magnetization**: 12.62 μB/cell
! **Formation enthalpy at 0 K**: 42.7 meV/atom

=====

! PrSmPtCl | Alexandria via LeMat-Bulk | PBE | optimized geometry; values from VASP
&SYSTEM
  ibrav = 0, nat = 4, ntyp = 4
/
ATOMIC_SPECIES
Pr 140.91 Pr.upf
Pt 195.08 Pt.upf
Cl 35.45 Cl.upf
Sm 150.36 Sm.upf
ATOMIC_POSITIONS angstrom
Pr -5.433 -3.595 2.751
Pt -4.479 -0.910 2.023
Cl -0.709 -3.318 -1.424
Sm -4.028 0.436 -0.492
CELL_PARAMETERS angstrom
-1.762 3.052 -1.792
0.237 -3.495 -1.834
-6.001 -3.057 5.050
! **DOS(E_F)**: 3.31 states/eV/f.u.
! **E_form (uncorrected)**: -1239 meV/atom
! **Magnetization**: 0.00 μB/cell